First-principles (PBE) data for a geometry-optimized RbNaSr2 structure, as listed in Alexandria via LeMat-Bulk.

The structure in CIF format:
```
data_RbNaSr2
_cell_length_a 4.4406
_cell_length_b 4.4406
_cell_length_c 11.6510
_cell_angle_alpha 90.00
_cell_angle_beta 90.00
_cell_angle_gamma 90.00
_symmetry_space_group_name_H-M 'P 4/m m m'
_symmetry_Int_Tables_number 123
_symmetry_space_group_name_Hall '-P 4 2'
loop_
_atom_site_label
_atom_site_type_symbol
_atom_site_fract_x
_atom_site_fract_y
_atom_site_fract_z
Rb1 Rb 0.0000 0.0000 0.0000
Na1 Na 0.0000 0.0000 0.5000
Sr1 Sr 0.5000 0.5000 0.3036
```

Results
raw total energy	-1.315	eV/atom
calculated formation energy	9	kJ per mole of atoms
DOS at the Fermi energy	3.763	states/eV/cell